The following is a meta-GGA SCAN calculation of a crystal of FeNiPt relaxed with PBEsol, from the Alexandria database.

Structure (POSCAR):
```
FeNiPt
1.0
2.646 0.000 0.000
0.000 2.646 0.000
-1.323 -1.323 5.304
Ni Fe Pt
1 1 1
direct
0.342 0.342 0.683
0.993 0.993 0.985
0.666 0.666 0.332
```

Computed properties:
For the distance to the lowest polymorph of the same formula, the calculation gives 0 meV per atom. The crystal system is tetragonal. Its total magnetization is 4.1 μB/cell. The value obtained for the formation energy is -24.0 kJ/mol of atoms.

***

The following is a meta-GGA SCAN calculation of a crystal of Fe2NiPt relaxed with PBEsol, from the Alexandria database.

Structure (POSCAR):
```
Fe2NiPt
1.0
3.632 0.000 0.000
0.000 3.632 0.000
-1.816 -1.816 3.668
Ni Fe Pt
1 2 1
direct
0.000 0.000 0.000
0.750 0.250 0.500
0.250 0.750 0.500
0.500 0.500 0.000
```

Computed properties:
The crystal system is tetragonal. Its total magnetization is 7.0 μB/cell. The value obtained for the formation energy is -32.3 kJ/mol of atoms.

***

The following is a meta-GGA SCAN calculation of a crystal of FeNi6Pt relaxed with PBEsol, from the Alexandria database.

Structure (POSCAR):
```
FeNi6Pt
1.0
6.137 0.000 0.000
-2.061 5.780 0.000
0.000 0.000 10.046
Fe Ni Pt
4 24 4
direct
0.251 0.749 0.000
0.749 0.251 0.000
0.500 0.500 0.753
0.500 0.500 0.247
0.254 0.746 0.757
0.872 0.619 0.879
0.128 0.381 0.879
0.746 0.254 0.757
0.381 0.128 0.879
0.619 0.872 0.879
0.500 0.500 0.500
0.132 0.378 0.630
0.378 0.132 0.630
0.254 0.746 0.243
0.868 0.622 0.370
0.132 0.378 0.370
0.746 0.254 0.243
0.378 0.132 0.370
0.622 0.868 0.370
0.500 0.500 0.000
0.128 0.381 0.121
0.381 0.128 0.121
0.000 0.000 0.500
0.622 0.868 0.630
0.868 0.622 0.630
0.000 0.000 0.000
0.619 0.872 0.121
0.872 0.619 0.121
0.250 0.750 0.500
0.750 0.250 0.500
0.000 0.000 0.752
0.000 0.000 0.248
```

Computed properties:
The crystal system is orthorhombic. Its total magnetization is 32.0 μB/cell. The value obtained for the formation energy is -12.3 kJ/mol of atoms.

***

The following is a meta-GGA SCAN calculation of a crystal of FeNi2Pt relaxed with PBEsol, from the Alexandria database.

Structure (POSCAR):
```
FeNi2Pt
1.0
-1.811 -1.857 -0.324
2.644 -2.921 1.962
-1.233 2.434 3.483
Ni Fe Pt
2 1 1
direct
0.999 0.001 0.999
0.747 0.237 0.494
0.253 0.763 0.507
0.500 0.499 0.000
```

Computed properties:
The crystal system is monoclinic. Its total magnetization is 4.9 μB/cell. The value obtained for the formation energy is -18.6 kJ/mol of atoms.

***

The following is a meta-GGA SCAN calculation of a crystal of FeNi2Pt relaxed with PBEsol, from the Alexandria database.

Structure (POSCAR):
```
FeNi2Pt
1.0
2.604 0.000 0.000
-1.302 4.211 -0.005
0.000 -0.840 4.357
Ni Fe Pt
2 1 1
direct
0.753 0.507 0.762
0.247 0.493 0.238
0.500 0.000 0.000
0.000 0.000 0.500
```

Computed properties:
The crystal system is monoclinic. Its total magnetization is 4.8 μB/cell. The value obtained for the formation energy is -16.0 kJ/mol of atoms.

***

The following is a meta-GGA SCAN calculation of a crystal of FeNiPt relaxed with PBEsol, from the Alexandria database.

Structure (POSCAR):
```
FeNiPt
1.0
-0.118 -2.551 0.499
4.018 -0.300 -0.582
-1.465 0.795 3.714
Ni Fe Pt
1 1 1
direct
0.830 0.333 0.667
0.837 0.000 0.000
0.333 0.667 0.333
```

Computed properties:
For the distance to the lowest polymorph of the same formula, the calculation gives 13 meV per atom. The crystal system is trigonal. Its total magnetization is 4.2 μB/cell. The value obtained for the formation energy is -22.8 kJ/mol of atoms.

***

The following is a meta-GGA SCAN calculation of a crystal of FeNi2Pt relaxed with PBEsol, from the Alexandria database.

Structure (POSCAR):
```
FeNi2Pt
1.0
2.598 0.000 0.000
0.000 3.511 0.000
0.000 0.000 5.224
Ni Fe Pt
2 1 1
direct
0.000 0.000 0.734
0.000 0.000 0.266
0.500 0.500 0.500
0.500 0.500 0.000
```

Computed properties:
The crystal system is orthorhombic. Its total magnetization is 4.9 μB/cell. The value obtained for the formation energy is -18.4 kJ/mol of atoms.

***

The following is a meta-GGA SCAN calculation of a crystal of Fe2NiPt relaxed with PBEsol, from the Alexandria database.

Structure (POSCAR):
```
Fe2NiPt
1.0
2.846 0.000 0.000
0.000 2.846 0.000
0.000 0.000 6.007
Ni Fe Pt
1 2 1
direct
0.000 0.000 0.468
0.000 0.000 0.021
0.500 0.500 0.260
0.500 0.500 0.752
```

Computed properties:
The crystal system is tetragonal. Its total magnetization is 7.0 μB/cell. The value obtained for the formation energy is -18.9 kJ/mol of atoms.